VASP calculation (PBE-GGA) on a relaxed structure of Ce2ErRu3.

a b c (Å): 5.6504 5.9033 8.2202
angles (deg): 108.75 110.10 90.00
Closest atoms and distances in Å follow each position.
Fractional coordinates of all 12 atoms:
Ru 0.3545 0.7500 0.0000  2 Er 2.76-2.89, 2 Ce 2.81
Ce 0.5895 0.1061 0.3480  2 Ru 2.46-2.74
Ru 0.7727 0.3575 0.6759  2 Ce 2.46-2.74
Ru 0.9032 0.8575 0.6759  2 Ce 2.46-2.74
Ce 0.2416 0.3939 0.6520  2 Ru 2.46-2.74
Ce 0.7584 0.6061 0.3480  2 Ru 2.46-2.74
Er 0.1570 0.2500 0.0000  6 Ru 2.76-3.05
Ce 0.4105 0.8939 0.6520  2 Ru 2.46-2.74
Ru 0.2273 0.6425 0.3241  2 Ce 2.46-2.74
Er 0.8430 0.7500 0.0000  6 Ru 2.76-3.05
Ru 0.6455 0.2500 0.0000  2 Er 2.76-2.89, 2 Ce 2.81
Ru 0.0968 0.1425 0.3241  2 Ce 2.46-2.74

Energy of formation from the pure elements (kJ/mol of formula units): -163
Density (g/cm³): 10.305
E above lowest polymorph (meV per atom): 84